(1)
Density functional theory data (PBE) for NbZnNiIr after structural relaxation.

The structure in CIF format:
```
data_NbZnNiIr
_cell_length_a 6.159
_cell_length_b 6.159
_cell_length_c 6.159
_cell_angle_alpha 90.00
_cell_angle_beta 90.00
_cell_angle_gamma 90.00
_symmetry_space_group_name_H-M 'F -4 3 m'
_symmetry_Int_Tables_number 216
_symmetry_space_group_name_Hall 'F -4 2 3'
loop_
_atom_site_label
_atom_site_type_symbol
_atom_site_fract_x
_atom_site_fract_y
_atom_site_fract_z
Nb1 Nb 0.000 0.000 0.000
Zn1 Zn 0.250 0.250 0.250
Ni1 Ni 0.000 0.000 0.500
Ir1 Ir 0.250 0.250 0.750
```

Calculated total energy ... -6.540 eV per atom

---

(2)
Density functional theory data (PBE) for LaNd2In3Pt2Au after structural relaxation.

The structure in CIF format:
```
data_LaNd2In3Pt2Au
_cell_length_a 4.060
_cell_length_b 13.577
_cell_length_c 7.855
_cell_angle_alpha 90.00
_cell_angle_beta 90.00
_cell_angle_gamma 90.00
_symmetry_space_group_name_H-M 'A m m 2'
_symmetry_Int_Tables_number 38
loop_
_symmetry_equiv_pos_as_xyz
'x,y,z'
'-x,-y,z'
'-x,y,z'
'x,-y,z'
'x,y+1/2,z+1/2'
'-x,-y+1/2,z+1/2'
'-x,y+1/2,z+1/2'
'x,-y+1/2,z+1/2'
loop_
_atom_site_label
_atom_site_type_symbol
_atom_site_fract_x
_atom_site_fract_y
_atom_site_fract_z
La1 La 0.000 0.000 0.000
Nd1 Nd 0.000 0.207 0.622
In1 In 0.500 0.000 0.671
In2 In 0.500 0.131 0.288
Pt1 Pt 0.500 0.166 0.916
Au1 Au 0.000 0.000 0.415
```

Calculated total energy ... -5.120 eV per atom

---

(3)
Density functional theory data (PBE) for NaYHgTe3 after structural relaxation.

The structure in CIF format:
```
data_NaYHgTe3
_cell_length_a 8.637
_cell_length_b 4.413
_cell_length_c 10.646
_cell_angle_alpha 90.00
_cell_angle_beta 104.41
_cell_angle_gamma 90.00
_symmetry_space_group_name_H-M 'P 1 21/m 1'
_symmetry_Int_Tables_number 11
loop_
_symmetry_equiv_pos_as_xyz
'x,y,z'
'-x,-y,-z'
'-x,y+1/2,-z'
'x,-y+1/2,z'
loop_
_atom_site_label
_atom_site_type_symbol
_atom_site_fract_x
_atom_site_fract_y
_atom_site_fract_z
Na1 Na 0.223 0.250 0.260
Y1 Y 0.323 0.750 0.855
Hg1 Hg 0.090 0.250 0.608
Te1 Te 0.069 0.250 0.866
Te2 Te 0.270 0.750 0.541
Te3 Te 0.432 0.750 0.153
```

Calculated total energy ... -3.784 eV per atom